No. 1
This record from OQMD describes Zr4GaPC2 after structural relaxation. The functional is GGA-PBE.

* spin magnetization: 0.0 μB per cell
* symmetry: P-6m2 (187)
* energy: -8.5213 eV per atom

Cell: 3.4032 3.4032 13.1835 Å, 90.00 90.00 120.00°
Last column: nearest neighbours and their distance in Å.
Fractional coordinates of all 8 atoms:
C1 0.3333 0.6667 0.7370  6 Zr 2.32-2.36
C2 0.3333 0.6667 0.2630  6 Zr 2.32-2.36
Zr1 0.0000 0.0000 0.6373  3 C 2.36
Zr2 0.6667 0.3333 0.1691  3 C 2.32
Zr3 0.6667 0.3333 0.8309  3 C 2.32
Zr4 0.0000 0.0000 0.3627  3 C 2.36
Ga1 0.0000 0.0000 0.0000  6 Zr 2.97
P1 0.6667 0.3333 0.5000  6 Zr 2.67


No. 2
This record from OQMD describes Ta4GaPbC2 after structural relaxation. The functional is GGA-PBE.

* spin magnetization: 0.0 μB per cell
* symmetry: P-6m2 (187)
* energy: -9.3942 eV per atom

Cell: 3.2025 3.2025 13.9208 Å, 90.00 90.00 120.00°
Last column: nearest neighbours and their distance in Å.
Fractional coordinates of all 8 atoms:
Ta1 0.6667 0.3333 0.8467  3 C 2.20
Ta2 0.6667 0.3333 0.1533  3 C 2.20
Ta3 0.0000 0.0000 0.3234  3 C 2.19
Ta4 0.0000 0.0000 0.6766  3 C 2.19
C1 0.3333 0.6667 0.2389  6 Ta 2.19-2.20
C2 0.3333 0.6667 0.7611  6 Ta 2.19-2.20
Pb1 0.6667 0.3333 0.5000  6 Ta 3.08, 6 Pb 3.20
Ga1 0.0000 0.0000 0.0000  6 Ta 2.82


No. 3
This record from OQMD describes Ga2PdC8 after structural relaxation. The functional is GGA-PBE.

* symmetry: C2/m (12)
* energy: -6.8175 eV per atom

Cell: 8.7523 8.7523 7.6411 Å, 114.62 114.62 17.01°
Last column: nearest neighbours and their distance in Å.
Fractional coordinates of all 11 atoms:
C1 0.5854 0.5854 0.9136  2 C 1.37
C2 0.1180 0.6191 0.5711  2 C 1.29-1.30
C3 0.1053 0.1053 0.8918  2 C 1.37
C4 0.4146 0.4146 0.0864  2 C 1.37
C5 0.8947 0.8947 0.1082  2 C 1.37
C6 0.8820 0.3809 0.4289  2 C 1.29-1.30
C7 0.3809 0.8820 0.4289  2 C 1.29-1.30
C8 0.6191 0.1180 0.5711  2 C 1.29-1.30
Ga1 0.2156 0.2156 0.7927  1 C 2.33, 2 Ga 2.59
Ga2 0.7844 0.7844 0.2073  1 C 2.33, 2 Ga 2.59
Pd1 0.0000 0.0000 0.0000  6 C 2.26-2.30


No. 4
This record from OQMD describes PmGaC after structural relaxation. The functional is GGA-PBE.

* spin magnetization: 0.0 μB per cell
* symmetry: C2/m (12)
* energy: -6.0946 eV per atom

Cell: 4.2774 4.2774 7.7021 Å, 103.60 103.60 56.56°
Last column: nearest neighbours and their distance in Å.
Fractional coordinates of all 6 atoms:
Ga1 0.6667 0.6667 0.5176  3 Ga 2.44-2.45
Ga2 0.3333 0.3333 0.4824  3 Ga 2.44-2.45
Pm1 0.9156 0.9156 0.1952  3 C 2.44-2.71
Pm2 0.0844 0.0844 0.8048  3 C 2.44-2.71
C1 0.4117 0.4117 0.9599  1 C 1.31
C2 0.5883 0.5883 0.0401  1 C 1.31


No. 5
This record from OQMD describes Pr3GaC after structural relaxation. The functional is GGA-PBE.

* spin magnetization: 0.0 μB per cell
* symmetry: Pm-3m (221)
* energy: -5.5271 eV per atom

Cell: 5.1132 5.1132 5.1132 Å, 90.00 90.00 90.00°
Last column: nearest neighbours and their distance in Å.
Fractional coordinates of all 5 atoms:
Pr1 0.5000 0.5000 0.0000  2 C 2.56
Pr2 0.5000 0.0000 0.5000  2 C 2.56
Pr3 0.0000 0.5000 0.5000  2 C 2.56
Ga1 0.0000 0.0000 0.0000  12 Pr 3.62
C1 0.5000 0.5000 0.5000  6 Pr 2.56


No. 6
This record from OQMD describes GaPt2C after structural relaxation. The functional is GGA-PBE.

* spin magnetization: 0.0 μB per cell
* symmetry: P6_3/mmc (194)
* energy: -5.6047 eV per atom

Cell: 3.2004 3.2004 12.4981 Å, 90.00 90.00 120.00°
Last column: nearest neighbours and their distance in Å.
Fractional coordinates of all 8 atoms:
C1 0.0000 0.0000 0.5000  6 Pt 2.21
C2 0.0000 0.0000 0.0000  6 Pt 2.21
Pt1 0.6667 0.3333 0.5971  3 C 2.21
Pt2 0.6667 0.3333 0.9029  3 C 2.21
Pt3 0.3333 0.6667 0.4029  3 C 2.21
Pt4 0.3333 0.6667 0.0971  3 C 2.21
Ga1 0.3333 0.6667 0.7500  6 Pt 2.66
Ga2 0.6667 0.3333 0.2500  6 Pt 2.66


No. 7
This record from OQMD describes GaRe3C after structural relaxation. The functional is GGA-PBE.

* spin magnetization: 0.0 μB per cell
* symmetry: Pm-3m (221)
* energy: -9.4854 eV per atom

Cell: 4.0872 4.0872 4.0872 Å, 90.00 90.00 90.00°
Last column: nearest neighbours and their distance in Å.
Fractional coordinates of all 5 atoms:
Re1 0.0000 0.5000 0.0000  2 C 2.04
Re2 0.0000 0.0000 0.5000  2 C 2.04
Re3 0.5000 0.0000 0.0000  2 C 2.04
Ga1 0.5000 0.5000 0.5000  12 Re 2.89
C1 0.0000 0.0000 0.0000  6 Re 2.04


No. 8
This record from OQMD describes Ta4GaC2S after structural relaxation. The functional is GGA-PBE.

* spin magnetization: 0.0 μB per cell
* symmetry: P-6m2 (187)
* energy: -9.7305 eV per atom

Cell: 3.2052 3.2052 12.6345 Å, 90.00 90.00 120.00°
Last column: nearest neighbours and their distance in Å.
Fractional coordinates of all 8 atoms:
Ta1 0.3333 0.6667 0.1442  3 C 2.20
Ta2 0.6667 0.3333 0.3303  3 C 2.18
Ta3 0.3333 0.6667 0.8558  3 C 2.20
Ta4 0.6667 0.3333 0.6697  3 C 2.18
Ga1 0.3333 0.6667 0.5000  6 Ta 2.83
C1 0.0000 0.0000 0.7610  6 Ta 2.18-2.20
C2 0.0000 0.0000 0.2390  6 Ta 2.18-2.20
S1 0.6667 0.3333 0.0000  6 Ta 2.60


No. 9
This record from OQMD describes Ta4GaC2S after structural relaxation. The functional is GGA-PBE.

* spin magnetization: 0.0 μB per cell
* symmetry: P-6m2 (187)
* energy: -9.7305 eV per atom

Cell: 3.2052 3.2052 12.6347 Å, 90.00 90.00 120.00°
Last column: nearest neighbours and their distance in Å.
Fractional coordinates of all 8 atoms:
Ta1 0.6667 0.3333 0.8303  3 C 2.18
Ta2 0.0000 0.0000 0.6442  3 C 2.20
Ta3 0.0000 0.0000 0.3558  3 C 2.20
Ta4 0.6667 0.3333 0.1697  3 C 2.18
S1 0.6667 0.3333 0.5000  6 Ta 2.60
C1 0.3333 0.6667 0.7390  6 Ta 2.18-2.20
C2 0.3333 0.6667 0.2610  6 Ta 2.18-2.20
Ga1 0.0000 0.0000 0.0000  6 Ta 2.83


No. 10
This record from OQMD describes GaW4C2S after structural relaxation. The functional is GGA-PBE.

* spin magnetization: 0.0 μB per cell
* symmetry: P-6m2 (187)
* energy: -9.5418 eV per atom

Cell: 3.1298 3.1298 12.6013 Å, 90.00 90.00 120.00°
Last column: nearest neighbours and their distance in Å.
Fractional coordinates of all 8 atoms:
C1 0.0000 0.0000 0.7561  6 W 2.13
C2 0.0000 0.0000 0.2439  6 W 2.13
W1 0.6667 0.3333 0.6669  3 C 2.13
W2 0.3333 0.6667 0.8462  3 C 2.13
W3 0.3333 0.6667 0.1538  3 C 2.13
W4 0.6667 0.3333 0.3331  3 C 2.13
S1 0.6667 0.3333 0.0000  6 W 2.65
Ga1 0.3333 0.6667 0.5000  6 W 2.77


No. 11
This record from OQMD describes Zr4GaC2S after structural relaxation. The functional is GGA-PBE.

* spin magnetization: 0.0 μB per cell
* symmetry: P-6m2 (187)
* energy: -8.5106 eV per atom

Cell: 3.3866 3.3866 13.2012 Å, 90.00 90.00 120.00°
Last column: nearest neighbours and their distance in Å.
Fractional coordinates of all 8 atoms:
Zr1 0.0000 0.0000 0.6393  3 C 2.33
Zr2 0.6667 0.3333 0.1710  3 C 2.31
Zr3 0.0000 0.0000 0.3607  3 C 2.33
Zr4 0.6667 0.3333 0.8290  3 C 2.31
S1 0.6667 0.3333 0.5000  6 Zr 2.68
C1 0.3333 0.6667 0.2645  6 Zr 2.31-2.33
C2 0.3333 0.6667 0.7355  6 Zr 2.31-2.33
Ga1 0.0000 0.0000 0.0000  6 Zr 2.99


No. 12
This record from OQMD describes Zr4GaC2S after structural relaxation. The functional is GGA-PBE.

* spin magnetization: 0.0 μB per cell
* symmetry: P-6m2 (187)
* energy: -8.5106 eV per atom

Cell: 3.3866 3.3866 13.2013 Å, 90.00 90.00 120.00°
Last column: nearest neighbours and their distance in Å.
Fractional coordinates of all 8 atoms:
Zr1 0.0000 0.0000 0.8607  3 C 2.33
Zr2 0.3333 0.6667 0.6710  3 C 2.31
Zr3 0.3333 0.6667 0.3290  3 C 2.31
Zr4 0.0000 0.0000 0.1393  3 C 2.33
Ga1 0.0000 0.0000 0.5000  6 Zr 2.99
S1 0.3333 0.6667 0.0000  6 Zr 2.68
C1 0.6667 0.3333 0.2355  6 Zr 2.31-2.33
C2 0.6667 0.3333 0.7645  6 Zr 2.31-2.33


No. 13
This record from OQMD describes Tm4GaSbC2 after structural relaxation. The functional is GGA-PBE.

* spin magnetization: 0.0 μB per cell
* symmetry: P-6m2 (187)
* energy: -5.9907 eV per atom

Cell: 3.5589 3.5589 15.1576 Å, 90.00 90.00 120.00°
Last column: nearest neighbours and their distance in Å.
Fractional coordinates of all 8 atoms:
C1 0.3333 0.6667 0.2515  6 Tm 2.41-2.48
C2 0.3333 0.6667 0.7485  6 Tm 2.41-2.48
Tm1 0.0000 0.0000 0.6657  3 C 2.41
Tm2 0.6667 0.3333 0.8400  3 C 2.48
Tm3 0.6667 0.3333 0.1600  3 C 2.48
Tm4 0.0000 0.0000 0.3343  3 C 2.41
Ga1 0.0000 0.0000 0.0000  6 Tm 3.18, 6 Ga 3.56
Sb1 0.6667 0.3333 0.5000  6 Tm 3.25, 6 Sb 3.56


No. 14
This record from OQMD describes GaSbW4C2 after structural relaxation. The functional is GGA-PBE.

* spin magnetization: 0.0 μB per cell
* symmetry: P-6m2 (187)
* energy: -9.4405 eV per atom

Cell: 3.1622 3.1622 13.2263 Å, 90.00 90.00 120.00°
Last column: nearest neighbours and their distance in Å.
Fractional coordinates of all 8 atoms:
C1 0.3333 0.6667 0.7555  6 W 2.13-2.16
C2 0.3333 0.6667 0.2445  6 W 2.13-2.16
Sb1 0.6667 0.3333 0.5000  6 W 2.92, 6 Sb 3.16
W1 0.6667 0.3333 0.8426  3 C 2.16
W2 0.0000 0.0000 0.3277  3 C 2.13
W3 0.0000 0.0000 0.6723  3 C 2.13
W4 0.6667 0.3333 0.1574  3 C 2.16
Ga1 0.0000 0.0000 0.0000  6 W 2.77


No. 15
This record from OQMD describes Sc2GaTcC after structural relaxation. The functional is GGA-PBE.

* spin magnetization: 0.0 μB per cell
* symmetry: P4/mmm (123)
* energy: -7.5758 eV per atom

Cell: 4.5096 4.5096 3.9663 Å, 90.00 90.00 90.00°
Last column: nearest neighbours and their distance in Å.
Fractional coordinates of all 5 atoms:
C1 0.0000 0.0000 0.0000  2 Tc 1.98
Ga1 0.5000 0.5000 0.5000  8 Sc 3.00, 4 Tc 3.19
Tc1 0.0000 0.0000 0.5000  2 C 1.98
Sc1 0.0000 0.5000 0.0000  2 C 2.25
Sc2 0.5000 0.0000 0.0000  2 C 2.25


No. 16
This record from OQMD describes Sc4Ga3W2C3 after structural relaxation. The functional is GGA-PBE.

* spin magnetization: 0.0 μB per cell
* symmetry: C2/c (15)
* energy: -7.8878 eV per atom

Cell: 5.5944 5.5944 13.9411 Å, 101.95 101.95 60.36°
Last column: nearest neighbours and their distance in Å.
Fractional coordinates of all 24 atoms:
Ga1 0.4194 0.3045 0.7523  2 Ga 2.69, 2 W 2.83-2.86, 4 Sc 2.91-2.96
Ga2 0.5806 0.6955 0.2477  2 Ga 2.69, 2 W 2.83-2.86, 4 Sc 2.91-2.96
Ga3 0.3045 0.4194 0.2523  2 Ga 2.69, 2 W 2.83-2.86, 4 Sc 2.91-2.96
Ga4 0.6955 0.5806 0.7477  2 Ga 2.69, 2 W 2.83-2.86, 4 Sc 2.91-2.96
Ga5 0.8560 0.1440 0.2500  2 Ga 2.69, 2 W 2.81, 4 Sc 2.91-2.92
Ga6 0.1440 0.8560 0.7500  2 Ga 2.69, 2 W 2.81, 4 Sc 2.91-2.92
Sc1 0.8120 0.9571 0.9048  3 C 2.27-2.30
Sc2 0.8769 0.6985 0.0954  3 C 2.27-2.30
Sc3 0.0429 0.1880 0.5952  3 C 2.27-2.30
Sc4 0.3015 0.1231 0.4046  3 C 2.27-2.30
Sc5 0.9571 0.8120 0.4048  3 C 2.27-2.30
Sc6 0.1880 0.0429 0.0952  3 C 2.27-2.30
Sc7 0.6985 0.8769 0.5954  3 C 2.27-2.30
Sc8 0.1231 0.3015 0.9046  3 C 2.27-2.30
C1 0.3402 0.8194 0.5000  2 W 2.10, 4 Sc 2.27-2.29
C2 0.5000 0.0000 0.0000  2 W 2.08, 4 Sc 2.30
C3 0.6598 0.1806 0.5000  2 W 2.10, 4 Sc 2.27-2.29
C4 0.0000 0.5000 0.5000  2 W 2.08, 4 Sc 2.30
C5 0.8194 0.3402 0.0000  2 W 2.10, 4 Sc 2.27-2.29
C6 0.1806 0.6598 0.0000  2 W 2.10, 4 Sc 2.27-2.29
W1 0.5250 0.3502 0.0748  3 C 2.08-2.10
W2 0.4750 0.6498 0.9252  3 C 2.08-2.10
W3 0.6498 0.4750 0.4252  3 C 2.08-2.10
W4 0.3502 0.5250 0.5748  3 C 2.08-2.10


No. 17
This record from OQMD describes Sc4ZnGaC2 after structural relaxation. The functional is GGA-PBE.

* spin magnetization: 1.0 μB per cell
* symmetry: P-6m2 (187)
* energy: -6.4631 eV per atom

Cell: 3.3154 3.3154 14.5488 Å, 90.00 90.00 120.00°
Last column: nearest neighbours and their distance in Å.
Fractional coordinates of all 8 atoms:
Ga1 0.0000 0.0000 0.0000  6 Sc 3.05, 6 Ga 3.32
Sc1 0.0000 0.0000 0.6669  3 C 2.26
Sc2 0.6667 0.3333 0.1630  3 C 2.30
Sc3 0.0000 0.0000 0.3331  3 C 2.26
Sc4 0.6667 0.3333 0.8370  3 C 2.30
Zn1 0.6667 0.3333 0.5000  6 Sc 3.09, 6 Zn 3.32
C1 0.3333 0.6667 0.7494  6 Sc 2.26-2.30
C2 0.3333 0.6667 0.2506  6 Sc 2.26-2.30


No. 18
This record from OQMD describes Ta4GaSiC2 after structural relaxation. The functional is GGA-PBE.

* spin magnetization: 0.0 μB per cell
* symmetry: P-6m2 (187)
* energy: -9.8081 eV per atom

Cell: 3.1708 3.1708 13.0007 Å, 90.00 90.00 120.00°
Last column: nearest neighbours and their distance in Å.
Fractional coordinates of all 8 atoms:
Ta1 0.6667 0.3333 0.8351  3 C 2.19
Ta2 0.0000 0.0000 0.3519  3 C 2.20
Ta3 0.0000 0.0000 0.6481  3 C 2.20
Ta4 0.6667 0.3333 0.1649  3 C 2.19
Ga1 0.0000 0.0000 0.0000  6 Ta 2.82
Si1 0.6667 0.3333 0.5000  6 Ta 2.66
C1 0.3333 0.6667 0.2574  6 Ta 2.19-2.20
C2 0.3333 0.6667 0.7426  6 Ta 2.19-2.20


No. 19
This record from OQMD describes GaSnW4C2 after structural relaxation. The functional is GGA-PBE.

* spin magnetization: 0.0 μB per cell
* symmetry: P-6m2 (187)
* energy: -9.4680 eV per atom

Cell: 3.1438 3.1438 13.3344 Å, 90.00 90.00 120.00°
Last column: nearest neighbours and their distance in Å.
Fractional coordinates of all 8 atoms:
Sn1 0.6667 0.3333 0.5000  6 W 2.95, 6 Sn 3.14
C1 0.3333 0.6667 0.7578  6 W 2.13-2.15
C2 0.3333 0.6667 0.2422  6 W 2.13-2.15
W1 0.0000 0.0000 0.6741  3 C 2.13
W2 0.0000 0.0000 0.3259  3 C 2.13
W3 0.6667 0.3333 0.8442  3 C 2.15
W4 0.6667 0.3333 0.1558  3 C 2.15
Ga1 0.0000 0.0000 0.0000  6 W 2.76


No. 20
This record from OQMD describes TaGa2C after structural relaxation. The functional is GGA-PBE.

* spin magnetization: 0.0 μB per cell
* symmetry: P6_3/mmc (194)
* energy: -6.1417 eV per atom

Cell: 3.0263 3.0263 14.2838 Å, 90.00 90.00 120.00°
Last column: nearest neighbours and their distance in Å.
Fractional coordinates of all 8 atoms:
Ga1 0.3333 0.6667 0.4123  3 C 2.15
Ga2 0.6667 0.3333 0.9123  3 C 2.15
Ga3 0.3333 0.6667 0.0877  3 C 2.15
Ga4 0.6667 0.3333 0.5877  3 C 2.15
Ta1 0.6667 0.3333 0.2500  6 Ga 2.90, 6 Ta 3.03
Ta2 0.3333 0.6667 0.7500  6 Ga 2.90, 6 Ta 3.03
C1 0.0000 0.0000 0.0000  6 Ga 2.15
C2 0.0000 0.0000 0.5000  6 Ga 2.15